A plane-wave DFT calculation with PBE+U was carried out for an optimized crystal structure of Na3Mn2P2C2O14.

Calculated values
Relative energy among the computed polymorphs, kJ/mol of formula units: 2.0
Final energy, eV/atom: -6.94
Magnetization, μB/f.u.: 7.0

extended XYZ file:
```
46
Lattice="-1.731 7.839 2.272 -7.256 -2.679 -3.330 -2.432 -3.151 8.202" Properties=species:S:1:pos:R:3 pbc="T T T"
O -3.270 -0.792 0.652
Mn -4.449 1.224 5.638
O -5.945 2.417 2.321
Na -8.867 -1.859 4.278
O -1.637 -0.291 2.785
O -6.942 5.469 0.111
O -2.766 4.851 5.169
O -3.735 0.080 7.151
O -5.677 1.067 7.210
C -4.827 0.276 7.853
P -9.730 1.330 3.121
P -6.052 3.274 3.581
O -5.513 -0.430 4.810
O -4.920 4.346 3.451
P -1.691 0.676 4.014
C -2.199 -0.971 -0.108
O -8.326 0.650 2.945
O -9.679 2.238 4.381
O -5.781 0.978 -0.116
O -8.903 -0.850 6.378
Mn -7.164 -3.937 2.751
O -2.619 2.941 0.778
O -8.096 2.802 6.506
Mn -6.990 0.670 1.456
O -8.037 -0.823 0.355
C -9.209 2.900 7.240
Na -5.825 3.710 7.097
O -6.479 -2.386 3.722
O -8.352 -4.167 4.362
O -3.974 -1.977 3.452
Na -7.479 0.752 5.556
Na -4.016 1.241 1.450
O -3.155 1.214 4.163
O -3.039 6.121 2.802
O -5.841 2.466 4.890
Mn -4.271 5.928 4.392
O -3.548 2.946 6.692
C -6.633 1.791 -0.695
Na -8.349 4.080 1.192
O -5.601 -0.467 2.255
O -8.547 -2.754 1.982
O -7.477 3.936 3.657
Na -2.543 3.721 2.935
P -5.384 -1.281 3.547
O -7.705 1.988 0.062
O -4.494 -3.653 6.965
```